Density functional theory data (PBE with a Hubbard U) for PrMn4Cu3O12 after structural relaxation.

## Properties
* calculated total energy: -6.74 eV per atom
* space-group type: Im-3, No. 204
* total moment: 14.755 μB/f.u.

```
PrMn4Cu3O12
1.0
6.4655 0.0000 0.0000
-2.1552 6.0957 0.0000
-2.1552 -3.0478 5.2790
Pr Mn Cu O
1 4 3 12
direct
0.0000 0.0000 0.0000 Pr
0.5000 0.5000 0.5000 Mn
0.5000 0.0000 0.0000 Mn
0.0000 0.0000 0.5000 Mn
0.0000 0.5000 0.0000 Mn
0.0000 0.5000 0.5000 Cu
0.5000 0.5000 0.0000 Cu
0.5000 0.0000 0.5000 Cu
0.1708 0.4780 0.3073 O
0.3073 0.8292 0.1365 O
0.5220 0.6927 0.8292 O
0.4780 0.3073 0.1708 O
0.6927 0.8292 0.5220 O
0.3073 0.1708 0.4780 O
0.8292 0.5220 0.6927 O
0.8635 0.6927 0.1708 O
0.1365 0.3073 0.8292 O
0.8292 0.1365 0.3073 O
0.6927 0.1708 0.8635 O
0.1708 0.8635 0.6927 O
```